Record 1
TaInSO2 PBE relaxed; formation energy from raw total energies = -37.00 kcal/mol of atoms; E = -7.3313 eV per atom; density = 7.34 g cm⁻³; total magnetic moment = 0.00 μB/cell
1.0
-0.294 -3.987 -0.405
4.959 -0.446 0.791
-0.661 -0.352 3.948
S In O Ta
1 1 2 1
Direct
0.000 0.500 0.000
0.500 0.500 0.500
0.000 0.000 0.500
0.500 0.000 0.000
0.000 0.000 0.000

Record 2
TmInSO2 PBE relaxed; formation energy from raw total energies = -49.94 kcal/mol of atoms; E = -6.4162 eV per atom; density = 6.55 g cm⁻³; total magnetic moment = 0.00 μB/cell
1.0
-3.817 -1.305 0.248
1.792 -5.757 -2.701
0.289 0.566 7.423
Tm In S O
2 2 2 4
Direct
0.250 0.678 0.945
0.750 0.322 0.055
0.250 0.679 0.459
0.750 0.321 0.541
0.250 0.016 0.790
0.750 0.984 0.210
0.750 0.546 0.392
0.250 0.454 0.608
0.750 0.502 0.870
0.250 0.498 0.130

Record 3
YInSO2 PBE relaxed; formation energy from raw total energies = -49.26 kcal/mol of atoms; E = -6.7853 eV per atom; density = 4.86 g cm⁻³; total magnetic moment = 0.00 μB/cell
1.0
4.087 0.000 0.000
0.000 6.669 -0.967
0.000 -2.619 7.086
Y In S O
2 2 2 4
Direct
0.250 0.681 0.947
0.750 0.319 0.053
0.250 0.674 0.460
0.750 0.326 0.540
0.250 0.012 0.790
0.750 0.988 0.210
0.750 0.548 0.396
0.250 0.452 0.604
0.750 0.498 0.866
0.250 0.502 0.134